VASP calculation (meta-GGA SCAN) on PaCl5 at its PBEsol-relaxed geometry.

The structure in CIF format:
```
data_PaCl5
_cell_length_a 8.235
_cell_length_b 11.701
_cell_length_c 8.340
_cell_angle_alpha 90.00
_cell_angle_beta 106.20
_cell_angle_gamma 90.00
_symmetry_space_group_name_H-M 'C 1 2/c 1'
_symmetry_Int_Tables_number 15
loop_
_symmetry_equiv_pos_as_xyz
'x,y,z'
'-x,-y,-z'
'-x,y,-z+1/2'
'x,-y,z+1/2'
'x+1/2,y+1/2,z'
'-x+1/2,-y+1/2,-z'
'-x+1/2,y+1/2,-z+1/2'
'x+1/2,-y+1/2,z+1/2'
loop_
_atom_site_label
_atom_site_fract_x
_atom_site_fract_y
_atom_site_fract_z
Pa1 0.000 0.069 0.250
Cl1 0.000 0.281 0.250
Cl2 0.001 0.126 0.565
Cl3 0.188 0.440 0.664
```

Output
**Formation energy without anion corrections**: -1.98 eV per atom